No. 1
VASP calculation (PBE-GGA) on a geometry-optimized In15Sn4Sb structure. Values from VASP.

Properties
Space group: P4/mmm
Total magnetization (μB/f.u.): 0.0
N(E_F) (states/eV per cell): 5.69
VASP energy (eV per atom): -3.046
ΔE_f (raw) (kJ/mol of atoms): 1.4

Cell and atoms, written as Quantum ESPRESSO input:
```
&SYSTEM
  ibrav = 0, nat = 20, ntyp = 3
/
ATOMIC_SPECIES
In 114.82 In.upf
Sn 118.71 Sn.upf
Sb 121.76 Sb.upf
ATOMIC_POSITIONS crystal
In 0.500 0.500 0.000
In 0.500 0.500 0.199
In 0.500 0.500 0.399
In 0.500 0.500 0.601
In 0.500 0.500 0.801
In 0.500 0.000 0.100
In 0.500 0.000 0.300
In 0.500 0.000 0.500
In 0.500 0.000 0.700
In 0.500 0.000 0.900
In 0.000 0.500 0.100
In 0.000 0.500 0.300
In 0.000 0.500 0.500
In 0.000 0.500 0.700
In 0.000 0.500 0.900
Sn 0.000 0.000 0.201
Sn 0.000 0.000 0.400
Sn 0.000 0.000 0.600
Sn 0.000 0.000 0.799
Sb 0.000 0.000 0.000
CELL_PARAMETERS angstrom
5.035 0.000 0.000
0.000 5.035 0.000
0.000 0.000 21.591
```



No. 2
VASP calculation (PBE-GGA) on a geometry-optimized Cd2InHg structure. Values from VASP.

Properties
Space group: C2/m
Total magnetization (μB/f.u.): 0.0
Formation energy (meV/atom): 19
N(E_F) (states/eV per cell): 1.29
VASP energy (eV per atom): -1.199

Cell and atoms, written as Quantum ESPRESSO input:
```
&SYSTEM
  ibrav = 0, nat = 4, ntyp = 3
/
ATOMIC_SPECIES
Cd 112.41 Cd.upf
In 114.82 In.upf
Hg 200.59 Hg.upf
ATOMIC_POSITIONS crystal
Cd 0.751 0.503 0.758
Cd 0.249 0.497 0.242
In 0.000 0.000 0.500
Hg 0.500 0.000 0.000
CELL_PARAMETERS angstrom
-3.314 0.021 0.943
1.797 -4.738 0.126
1.595 1.886 5.562
```